1.
Ba2ScAg | GGA-PBE | relaxed

## Properties
crystal system: trigonal
M_tot: 1.148 μB/cell
space-group type: R-3m (166)

abc: 11.097 11.097 11.097
angles: 21.27 21.27 21.27
Atoms (fractional coordinates):
Ba: 0.242 0.242 0.242
Ba: 0.758 0.758 0.758
Sc: 0.000 0.000 0.000
Ag: 0.500 0.500 0.500


2.
Ba2ScAg | GGA-PBE | relaxed

## Properties
crystal system: orthorhombic
M_tot: 0.002 μB/cell
space-group type: Imm2 (44)

abc: 7.248 7.248 7.248
angles: 148.29 130.86 59.68
Atoms (fractional coordinates):
Ba: 0.000 0.000 0.000
Ba: 0.700 0.200 0.500
Sc: 0.300 0.800 0.500
Ag: 0.463 0.463 0.000


3.
Ba2ScAg | GGA-PBE | relaxed

## Properties
crystal system: cubic
M_tot: 0.000 μB/cell
space-group type: Fm-3m (225)

abc: 5.975 5.975 5.975
angles: 60.00 60.00 60.00
Atoms (fractional coordinates):
Ba: 0.250 0.250 0.250
Ba: 0.750 0.750 0.750
Sc: 0.000 0.000 0.000
Ag: 0.500 0.500 0.500


Least stable = 3


1.
Ba2ScAg | GGA-PBE | relaxed

## Properties
crystal system: tetragonal
M_tot: 0.000 μB/cell
space-group type: I-42d (122)

abc: 7.529 7.529 7.529
angles: 102.21 102.21 125.23
Atoms (fractional coordinates):
Ba: 0.082 0.625 0.957
Ba: 0.375 0.332 0.457
Ba: 0.668 0.125 0.043
Ba: 0.875 0.918 0.543
Sc: 0.250 0.750 0.500
Sc: 0.500 0.500 0.000
Ag: 0.000 0.000 0.000
Ag: 0.750 0.250 0.500


2.
Ba2ScAg | GGA-PBE | relaxed

## Properties
crystal system: tetragonal
M_tot: 0.626 μB/cell
space-group type: I-4m2 (119)

abc: 6.901 6.901 6.901
angles: 137.89 137.89 61.08
Atoms (fractional coordinates):
Ba: 0.000 0.000 0.000
Ba: 0.750 0.250 0.500
Sc: 0.250 0.750 0.500
Ag: 0.500 0.500 0.000


Least stable = 1


1.
Ba2ScAg | GGA-PBE | relaxed

## Properties
crystal system: cubic
M_tot: 0.518 μB/cell
space-group type: F-43m (216)

abc: 5.733 5.733 5.733
angles: 60.00 60.00 60.00
Atoms (fractional coordinates):
Ba: 0.000 0.000 0.000
Ba: 0.250 0.250 0.250
Sc: 0.750 0.750 0.750
Ag: 0.500 0.500 0.500


2.
Ba2ScAg | GGA-PBE | relaxed

## Properties
crystal system: trigonal
M_tot: 1.127 μB/cell
space-group type: R3m (160)

abc: 9.412 9.412 9.412
angles: 29.22 29.22 29.22
Atoms (fractional coordinates):
Ba: 0.000 0.000 0.000
Ba: 0.190 0.190 0.190
Sc: 0.428 0.428 0.428
Ag: 0.764 0.764 0.764


Least stable = 1


1.
Ba2ScAg | GGA-PBE | relaxed

## Properties
crystal system: tetragonal
M_tot: 0.001 μB/cell
space-group type: P4/mmm (123)

abc: 4.199 4.199 8.461
angles: 90.00 90.00 90.00
Atoms (fractional coordinates):
Ba: 0.000 0.000 0.230
Ba: 0.000 0.000 0.770
Sc: 0.500 0.500 0.500
Ag: 0.500 0.500 0.000


2.
Ba2ScAg | GGA-PBE | relaxed

## Properties
crystal system: orthorhombic
M_tot: 0.009 μB/cell
space-group type: Immm (71)

abc: 6.778 6.778 6.778
angles: 142.57 129.58 64.45
Atoms (fractional coordinates):
Ba: 0.215 0.215 0.000
Ba: 0.785 0.785 0.000
Sc: 0.500 0.000 0.500
Ag: 0.000 0.500 0.500


Least stable = 2


1.
Ba2ScAg | GGA-PBE | relaxed

## Properties
crystal system: tetragonal
M_tot: 0.000 μB/cell
space-group type: P4mm (99)

abc: 3.861 3.861 10.002
angles: 90.00 90.00 90.00
Atoms (fractional coordinates):
Ba: 0.000 0.000 0.000
Ba: 0.500 0.500 0.371
Sc: 0.000 0.000 0.653
Ag: 0.500 0.500 0.765


2.
Ba2ScAg | GGA-PBE | relaxed

## Properties
crystal system: orthorhombic
M_tot: 0.001 μB/cell
space-group type: Amm2 (38)

abc: 4.228 7.286 7.286
angles: 45.16 90.00 90.00
Atoms (fractional coordinates):
Ba: 0.000 0.000 0.000
Ba: 0.500 0.297 0.297
Sc: 0.000 0.691 0.691
Ag: 0.500 0.555 0.555


Least stable = 2


1.
Ba2ScAg2 | GGA-PBE | relaxed

## Properties
crystal system: tetragonal
M_tot: 1.709 μB/cell
space-group type: I4/mmm (139)

abc: 7.564 7.564 7.564
angles: 138.77 138.77 59.73
Atoms (fractional coordinates):
Ba: 0.250 0.750 0.500
Ba: 0.750 0.250 0.500
Sc: 0.000 0.000 0.000
Ag: 0.400 0.400 0.000
Ag: 0.600 0.600 0.000


2.
Ba2ScAg2 | GGA-PBE | relaxed

## Properties
crystal system: tetragonal
M_tot: 0.000 μB/cell
space-group type: P4/mbm (127)

abc: 8.016 8.016 5.183
angles: 90.00 90.00 90.00
Atoms (fractional coordinates):
Ba: 0.173 0.327 0.000
Ba: 0.327 0.827 0.000
Ba: 0.673 0.173 0.000
Ba: 0.827 0.673 0.000
Sc: 0.000 0.000 0.500
Sc: 0.500 0.500 0.500
Ag: 0.133 0.633 0.500
Ag: 0.367 0.133 0.500
Ag: 0.633 0.867 0.500
Ag: 0.867 0.367 0.500


Least stable = 1


1.
BaAg3Se | GGA-PBE | relaxed

## Properties
crystal system: cubic
M_tot: 0.000 μB/cell
space-group type: Pm-3m (221)

abc: 5.270 5.270 5.270
angles: 90.00 90.00 90.00
Atoms (fractional coordinates):
Ba: 0.000 0.000 0.000
Ag: 0.000 0.500 0.500
Ag: 0.500 0.000 0.500
Ag: 0.500 0.500 0.000
Se: 0.500 0.500 0.500


2.
BaAg3Se | GGA-PBE | relaxed

## Properties
crystal system: cubic
M_tot: 0.000 μB/cell
space-group type: Pm-3m (221)

abc: 5.931 5.931 5.931
angles: 90.00 90.00 90.00
Atoms (fractional coordinates):
Ba: 0.000 0.000 0.000
Ag: 0.000 0.000 0.500
Ag: 0.000 0.500 0.000
Ag: 0.500 0.000 0.000
Se: 0.500 0.500 0.500


Least stable = 2


1.
Ba2Si2Ag | GGA-PBE | relaxed

## Properties
crystal system: tetragonal
M_tot: 0.000 μB/cell
space-group type: P4/mbm (127)

abc: 8.316 8.316 4.592
angles: 90.00 90.00 90.00
Atoms (fractional coordinates):
Ba: 0.191 0.309 0.000
Ba: 0.309 0.809 0.000
Ba: 0.691 0.191 0.000
Ba: 0.809 0.691 0.000
Si: 0.097 0.597 0.500
Si: 0.403 0.097 0.500
Si: 0.597 0.903 0.500
Si: 0.903 0.403 0.500
Ag: 0.000 0.000 0.500
Ag: 0.500 0.500 0.500


2.
Ba2Si2Ag | GGA-PBE | relaxed

## Properties
crystal system: tetragonal
M_tot: 0.000 μB/cell
space-group type: I4/mmm (139)

abc: 5.966 5.966 5.966
angles: 113.85 113.85 101.04
Atoms (fractional coordinates):
Ba: 0.250 0.750 0.500
Ba: 0.750 0.250 0.500
Si: 0.153 0.153 0.000
Si: 0.847 0.847 0.000
Ag: 0.500 0.500 0.000


3.
Ba2Si2Ag | GGA-PBE | relaxed

## Properties
crystal system: orthorhombic
M_tot: 0.000 μB/cell
space-group type: Amm2 (38)

abc: 4.675 7.153 7.153
angles: 37.45 90.00 90.00
Atoms (fractional coordinates):
Ba: 0.000 0.000 0.000
Ba: 0.000 0.245 0.245
Si: 0.500 0.431 0.431
Si: 0.500 0.607 0.607
Ag: 0.500 0.817 0.817


Least stable = 2


1.
BaSi2Ag4 | GGA-PBE | relaxed

## Properties
crystal system: tetragonal
M_tot: 0.000 μB/cell
space-group type: I4/mmm (139)

abc: 8.027 8.027 8.027
angles: 138.50 138.50 60.13
Atoms (fractional coordinates):
Ba: 0.000 0.000 0.000
Si: 0.418 0.418 0.000
Si: 0.582 0.582 0.000
Ag: 0.000 0.500 0.500
Ag: 0.244 0.244 0.000
Ag: 0.500 0.000 0.500
Ag: 0.756 0.756 0.000


2.
BaSi2Ag4 | GGA-PBE | relaxed

## Properties
crystal system: orthorhombic
M_tot: 0.000 μB/cell
space-group type: Cmmm (65)

abc: 7.289 7.289 4.625
angles: 90.00 90.00 143.28
Atoms (fractional coordinates):
Ba: 0.000 0.000 0.000
Si: 0.411 0.589 0.500
Si: 0.589 0.411 0.500
Ag: 0.185 0.815 0.500
Ag: 0.317 0.683 0.000
Ag: 0.683 0.317 0.000
Ag: 0.815 0.185 0.500


Least stable = 1


1.
BaSm2Ag | GGA-PBE | relaxed

## Properties
crystal system: trigonal
M_tot: 0.001 μB/cell
space-group type: R-3m (166)

abc: 12.038 12.038 12.038
angles: 17.79 17.79 17.79
Atoms (fractional coordinates):
Ba: 0.000 0.000 0.000
Sm: 0.103 0.103 0.103
Sm: 0.897 0.897 0.897
Ag: 0.500 0.500 0.500


2.
BaSm2Ag | GGA-PBE | relaxed

## Properties
crystal system: tetragonal
M_tot: 0.001 μB/cell
space-group type: P4/mmm (123)

abc: 3.798 3.798 9.716
angles: 90.00 90.00 90.00
Atoms (fractional coordinates):
Ba: 0.000 0.000 0.000
Sm: 0.500 0.500 0.322
Sm: 0.500 0.500 0.678
Ag: 0.000 0.000 0.500


Least stable = 1


1.
BaAgSn4 | GGA-PBE | relaxed

## Properties
crystal system: cubic
M_tot: 0.000 μB/cell
space-group type: F-43m (216)

abc: 6.356 6.356 6.356
angles: 60.00 60.00 60.00
Atoms (fractional coordinates):
Ba: 0.000 0.000 0.000
Ag: 0.750 0.750 0.750
Sn: 0.376 0.376 0.376
Sn: 0.376 0.376 0.873
Sn: 0.376 0.873 0.376
Sn: 0.873 0.376 0.376


2.
BaAgSn4 | GGA-PBE | relaxed

## Properties
crystal system: monoclinic
M_tot: 0.000 μB/cell
space-group type: C2/m (12)

abc: 8.041 8.041 6.729
angles: 114.66 114.66 77.64
Atoms (fractional coordinates):
Ba: 0.250 0.250 0.005
Ba: 0.750 0.750 0.995
Ag: 0.000 0.500 0.500
Ag: 0.500 0.000 0.500
Sn: 0.103 0.103 0.360
Sn: 0.246 0.754 0.000
Sn: 0.254 0.746 0.500
Sn: 0.397 0.397 0.656
Sn: 0.603 0.603 0.344
Sn: 0.746 0.254 0.500
Sn: 0.754 0.246 0.000
Sn: 0.897 0.897 0.640


3.
BaAgSn4 | GGA-PBE | relaxed

## Properties
crystal system: orthorhombic
M_tot: 0.000 μB/cell
space-group type: Cmcm (63)

abc: 9.688 9.688 7.527
angles: 90.00 90.00 150.72
Atoms (fractional coordinates):
Ba: 0.118 0.882 0.750
Ba: 0.882 0.118 0.250
Ag: 0.223 0.777 0.250
Ag: 0.777 0.223 0.750
Sn: 0.069 0.931 0.250
Sn: 0.319 0.681 0.552
Sn: 0.319 0.681 0.948
Sn: 0.500 0.500 0.000
Sn: 0.500 0.500 0.500
Sn: 0.681 0.319 0.052
Sn: 0.681 0.319 0.448
Sn: 0.931 0.069 0.750


Least stable = 1